# 1
Here is crystalline Zn2CuBr6 at its relaxed geometry from Alexandria. Energies are from PBE-GGA.

Structure (extended XYZ):
```
18
Lattice="6.720 -7.522 0.000 6.720 7.522 0.000 -3.295 0.000 5.857" Properties=species:S:1:pos:R:3 pbc="T T T"
Zn 2.025 1.133 2.335
Zn 0.378 -1.133 5.264
Zn 9.767 1.133 0.593
Zn 8.120 -1.133 3.522
Cu 4.249 3.701 4.393
Cu 5.896 -3.701 1.464
Br 2.598 5.210 5.305
Br 0.784 1.162 4.440
Br 5.899 5.210 3.481
Br 4.235 2.173 2.523
Br 2.431 -1.162 1.512
Br 7.558 2.173 0.406
Br 2.587 -2.173 5.451
Br 7.714 1.162 4.346
Br 5.911 -2.173 3.334
Br 4.246 -5.210 2.376
Br 9.361 -1.162 1.417
Br 7.547 -5.210 0.552
```

Properties
* DFT total energy: -2.4950 eV per atom
* size of the total moment: 0.96 μB/f.u.
* volume: 32.90 Å³ per atom
* raw formation energy: -5.77 eV per formula unit


# 2
Here is crystalline Te6SeCl3 at its relaxed geometry from Alexandria. Energies are from PBE-GGA.

Structure (extended XYZ):
```
20
Lattice="4.344 0.000 0.000 0.000 12.080 0.000 -3.712 0.000 12.735" Properties=species:S:1:pos:R:3 pbc="T T T"
Te -1.047 1.455 4.345
Te -2.903 4.584 10.713
Te 0.633 2.188 1.685
Te -1.223 3.852 8.053
Te 1.583 8.807 0.318
Te -0.273 9.313 6.686
Te 0.905 2.767 6.049
Te -0.951 3.273 12.416
Te 1.855 8.228 4.682
Te -0.001 9.892 11.049
Te 3.535 7.495 2.022
Te 1.679 10.624 8.389
Se 0.316 0.000 6.367
Se 2.172 6.040 0.000
Cl 0.000 0.000 0.000
Cl -1.856 6.040 6.367
Cl -0.853 1.751 9.248
Cl 1.004 4.289 2.881
Cl -0.372 7.791 9.854
Cl 1.485 10.329 3.487
```

Properties
* DFT total energy: -2.8976 eV per atom
* size of the total moment: 0.00 μB/f.u.
* volume: 33.41 Å³ per atom
* raw formation energy: -1.10 eV per formula unit


# 3
Here is crystalline AcHoTlAg at its relaxed geometry from Alexandria. Energies are from PBE-GGA.

Structure (extended XYZ):
```
4
Lattice="3.792 0.000 0.000 0.000 3.792 0.000 0.000 0.000 8.074" Properties=species:S:1:pos:R:3 pbc="T T T"
Ac 0.000 0.000 0.000
Ho 0.000 0.000 3.804
Tl 1.896 1.896 5.733
Ag 1.896 1.896 2.259
```

Properties
* formation energy from the elements: -0.307 eV/atom
* DFT total energy: -3.7824 eV per atom
* size of the total moment: 0.03 μB/f.u.
* volume: 29.02 Å³ per atom


# 4
Here is crystalline Na2GaGeH at its relaxed geometry from Alexandria. Energies are from PBE-GGA.

Structure (extended XYZ):
```
5
Lattice="4.218 0.000 0.000 0.000 4.218 0.000 0.000 0.000 4.913" Properties=species:S:1:pos:R:3 pbc="T T T"
Na 0.000 2.109 0.000
Na 2.109 0.000 0.000
Ga 0.000 0.000 2.457
Ge 2.109 2.109 2.457
H 0.000 0.000 0.000
```

Properties
* DFT total energy: -2.6780 eV per atom
* size of the total moment: 0.00 μB/f.u.
* volume: 17.48 Å³ per atom


# 5
Here is crystalline BeFeP2 at its relaxed geometry from Alexandria. Energies are from PBE-GGA.

Structure (extended XYZ):
```
4
Lattice="1.414 0.817 6.581 -1.414 0.817 6.581 0.000 -1.633 6.581" Properties=species:S:1:pos:R:3 pbc="T T T"
Be 0.000 0.000 0.000
Fe 0.000 0.000 9.872
P 0.000 0.000 4.933
P 0.000 0.000 14.810
```

Properties
* formation energy from the elements: 0.005 eV/atom
* DFT total energy: -5.7470 eV per atom
* size of the total moment: 0.33 μB/f.u.
* volume: 11.40 Å³ per atom


# 6
Here is crystalline NdDy6Er12 at its relaxed geometry from Alexandria. Energies are from PBE-GGA.

Structure (extended XYZ):
```
19
Lattice="5.903 3.408 5.025 -5.903 3.408 5.025 0.000 -6.816 5.025" Properties=species:S:1:pos:R:3 pbc="T T T"
Nd 0.000 0.000 0.000
Dy -3.509 0.897 5.179
Dy 0.977 -3.488 5.179
Dy -2.532 -2.590 9.896
Dy 2.532 2.590 5.179
Dy -0.977 3.488 9.896
Dy 3.509 -0.897 9.896
Er -1.214 -1.654 2.894
Er -0.825 1.879 2.894
Er -1.339 -1.514 6.266
Er 2.040 -0.225 2.894
Er -1.981 0.403 8.810
Er -0.641 1.917 6.266
Er 0.641 -1.917 8.810
Er 1.981 -0.403 6.266
Er -2.040 0.225 12.182
Er 1.339 1.514 8.810
Er 0.825 -1.879 12.182
Er 1.214 1.654 12.182
```

Properties
* formation energy from the elements: 0.160 eV/atom
* DFT total energy: -4.4257 eV per atom
* size of the total moment: 0.00 μB/f.u.
* volume: 31.93 Å³ per atom


# 7
Here is crystalline GeTeSeI2 at its relaxed geometry from Alexandria. Energies are from PBE-GGA.

Structure (extended XYZ):
```
5
Lattice="5.608 0.000 0.000 0.000 5.608 0.000 0.000 0.000 5.653" Properties=species:S:1:pos:R:3 pbc="T T T"
Ge 0.000 0.000 0.000
Te 0.000 0.000 2.826
Se 2.804 2.804 2.826
I 0.000 2.804 0.000
I 2.804 0.000 0.000
```

Properties
* DFT total energy: -2.3421 eV per atom
* size of the total moment: 1.42 μB/f.u.
* volume: 35.55 Å³ per atom
* raw formation energy: 2.63 eV per formula unit


# 8
Here is crystalline NiAuI3 at its relaxed geometry from Alexandria. Energies are from PBE-GGA.

Structure (extended XYZ):
```
5
Lattice="5.287 0.000 0.000 0.000 5.287 0.000 0.000 0.000 5.287" Properties=species:S:1:pos:R:3 pbc="T T T"
Ni 0.000 0.000 0.000
Au 2.643 2.643 2.643
I 0.000 0.000 2.643
I 0.000 2.643 0.000
I 2.643 0.000 0.000
```

Properties
* DFT total energy: -2.2933 eV per atom
* size of the total moment: 0.00 μB/f.u.
* volume: 29.55 Å³ per atom
* raw formation energy: 2.24 eV per formula unit


# 9
Here is crystalline BaCe2AsO8 at its relaxed geometry from Alexandria. Energies are from PBE-GGA.

Structure (extended XYZ):
```
12
Lattice="4.672 0.000 0.000 0.810 5.265 0.000 2.275 -0.223 6.709" Properties=species:S:1:pos:R:3 pbc="T T T"
Ba 0.000 0.000 0.000
Ce 2.713 2.803 1.992
Ce 5.044 2.240 4.717
As 3.473 -0.111 3.355
O 2.347 1.296 3.988
O 1.604 2.610 0.027
O 3.332 3.795 4.140
O 3.282 4.983 1.777
O 4.475 0.060 4.932
O 4.425 1.247 2.569
O 6.153 2.433 6.682
O 5.409 3.747 2.721
```

Properties
* DFT total energy: -7.2489 eV per atom
* size of the total moment: 0.21 μB/f.u.
* volume: 13.75 Å³ per atom
* raw formation energy: -28.88 eV per formula unit